CaDy2CoO5: relaxed, PBE+U.

```
data_CaDy2CoO5
_chemical_formula_sum 'Ca2 Dy4 Co2 O10'
_symmetry_space_group_name_H-M 'P 4/m b m'
_symmetry_Int_Tables_number 127
_symmetry_space_group_name_Hall '-P 4 2ab'
_cell_length_a 6.4298
_cell_length_b 6.4298
_cell_length_c 5.5242
_cell_angle_alpha 90.00
_cell_angle_beta 90.00
_cell_angle_gamma 90.00
loop_
_atom_site_label
_atom_site_type_symbol
_atom_site_fract_x
_atom_site_fract_y
_atom_site_fract_z
Ca1 Ca 0.0000 0.0000 0.0000
Dy1 Dy 0.1729 0.3271 0.5000
Co1 Co 0.0000 0.5000 0.0000
O1 O 0.0000 0.0000 0.5000
O2 O 0.1414 0.6414 0.2406
```

Calculated values
Magnetic moment ... 0.11 μB/atom
Final energy ... -7.24 eV/atom